Material: NaNdPu4N8
Method: DFT, PBE-GGA
State: optimized geometry

Lattice parameters (Å, degrees): 6.8895 6.8895 6.6689 58.90 58.90 60.00
Closest atoms and distances in Å follow each position.
Fractional positions:
1 Pu 0.0004 0.4987 0.5005  6 N 2.14-2.31
2 Pu 0.4987 0.0004 0.5005  6 N 2.14-2.31
3 Pu 0.6140 0.6140 0.1581  4 N 2.25-2.35
4 Pu 0.0004 0.0004 0.5005  6 N 2.14-2.31
5 N 0.7603 0.7603 0.7192  4 Pu 2.31-2.35
6 N 0.2343 0.2343 0.2971  3 Pu 2.26, 1 Nd 2.41
7 N 0.7441 0.7441 0.2994  3 Pu 2.21-2.25, 1 Na 2.45
8 N 0.2504 0.2504 0.6922  2 Pu 2.14, 1 Nd 2.36
9 N 0.2124 0.7441 0.2994  3 Pu 2.21-2.25, 1 Na 2.45
10 N 0.2504 0.8070 0.6922  2 Pu 2.14, 1 Nd 2.36
11 N 0.7441 0.2124 0.2994  3 Pu 2.21-2.25, 1 Na 2.45
12 N 0.8070 0.2504 0.6922  2 Pu 2.14, 1 Nd 2.36
13 Nd 0.3842 0.3842 0.8473  4 N 2.36-2.41
14 Na 0.9993 0.9993 0.0021  6 N 2.42-2.45

Calculated values
Symmetry = R3m (160)
ρ = 9.473 g cm⁻³
Crystal system = trigonal
E_form (uncorrected) = -875 meV/atom
E = -10.162 eV/atom